## w
# PBE HgMoBr4, relaxed
data_HgMoBr4
_chemical_formula_sum 'Hg4 Mo4 Br16'
_space_group_name_H-M_alt 'A m a 2'
_space_group_IT_number 40
_cell_length_a 15.4853
_cell_length_b 7.5945
_cell_length_c 7.2262
_cell_angle_alpha 90.00
_cell_angle_beta 90.00
_cell_angle_gamma 90.00
loop_
_space_group_symop_operation_xyz
'x,y,z'
'-x,-y,z'
'-x+1/2,y,z'
'x+1/2,-y,z'
'x,y+1/2,z+1/2'
'-x,-y+1/2,z+1/2'
'-x+1/2,y+1/2,z+1/2'
'x+1/2,-y+1/2,z+1/2'
loop_
_atom_site_label
_atom_site_fract_x
_atom_site_fract_y
_atom_site_fract_z
_atom_site_occupancy
Hg1 0.0000 0.0000 0.0000 1
Mo1 0.2500 0.2172 0.6908 1
Br1 0.0854 0.2080 0.6912 1
Br2 0.2500 0.4320 0.9949 1
Br3 0.2500 0.4983 0.4977 1
# * D(E_F): 7.80 states/eV per cell
# * V: 849.8 Å³/cell

---

## x
# PBE HgMoBr4, relaxed
data_HgMoBr4
_chemical_formula_sum 'Hg4 Mo4 Br16'
_space_group_name_H-M_alt 'F -4 3 m'
_space_group_IT_number 216
_space_group_name_Hall 'F -4 2 3'
_cell_length_a 8.8971
_cell_length_b 8.8971
_cell_length_c 8.8971
_cell_angle_alpha 90.00
_cell_angle_beta 90.00
_cell_angle_gamma 90.00
loop_
_atom_site_label
_atom_site_fract_x
_atom_site_fract_y
_atom_site_fract_z
_atom_site_occupancy
Hg1 0.0000 0.0000 0.0000 1
Mo1 0.2500 0.2500 0.7500 1
Br1 0.1248 0.1248 0.3752 1
# * D(E_F): 31.70 states/eV per cell
# * V: 704.3 Å³/cell

---

Most stable one: w, least stable one: x.